No. 1
Y3Fe after structural relaxation. Source: Alexandria via LeMat-Bulk, functional PBE-GGA.

- Symmetry: Pnma, No. 62
- Calculated total energy: -111.28 eV per cell
- V: 25.82 Å³/atom

Cell: 7.1042 9.2147 6.3099 Å, 90.00 90.00 90.00°
Sites, in units of the cell vectors:
Y: 0.1738 0.4330 0.3279
Fe: 0.8890 0.2500 0.4669
Y: 0.4503 0.7500 0.3625
Y: 0.3262 0.9330 0.8279
Y: 0.3262 0.5670 0.8279
Y: 0.5497 0.2500 0.6375
Y: 0.6738 0.0670 0.1721
Y: 0.8262 0.5670 0.6721
Fe: 0.1110 0.7500 0.5331
Y: 0.9503 0.7500 0.1375
Y: 0.0497 0.2500 0.8625
Y: 0.8262 0.9330 0.6721
Fe: 0.3890 0.2500 0.0331
Fe: 0.6110 0.7500 0.9669
Y: 0.6738 0.4330 0.1721
Y: 0.1738 0.0670 0.3279

No. 2
YFe3 after structural relaxation. Source: Alexandria via LeMat-Bulk, functional PBE-GGA.

- Symmetry: P-6m2, No. 187
- Calculated total energy: -29.71 eV per cell
- V: 17.61 Å³/atom

Cell: 3.4173 3.4173 6.9661 Å, 90.00 90.00 120.00°
Each line ends with the local moment (μB).
Sites, in units of the cell vectors:
Fe: 0.0000 0.0000 0.4417  2.52
Fe: 0.0000 0.0000 0.0583  2.52
Y: 0.3333 0.6667 0.7500  -0.20
Fe: 0.3333 0.6667 0.2500  2.36

No. 3
Y4Fe after structural relaxation. Source: Alexandria via LeMat-Bulk, functional PBE-GGA.

- Symmetry: I4/m, No. 87
- Calculated total energy: -33.18 eV per cell
- V: 27.30 Å³/atom

Cell: 5.6458 5.6458 5.6458 Å, 105.66 105.66 117.40°
Sites, in units of the cell vectors:
Y: 0.3379 0.8208 0.1586
Fe: 0.0000 0.0000 0.0000
Y: 0.6621 0.1792 0.8414
Y: 0.1792 0.3379 0.5171
Y: 0.8208 0.6621 0.4829

No. 4
YFe3 after structural relaxation. Source: Alexandria via LeMat-Bulk, functional PBE-GGA.

- Symmetry: R-3m, No. 166
- Calculated total energy: -31.56 eV per cell
- V: 16.85 Å³/atom

Cell: 4.0069 4.0063 5.3721 Å, 111.92 90.00 120.00°
Each line ends with the local moment (μB).
Sites, in units of the cell vectors:
Y: 0.7500 0.5000 0.2500  -0.28
Fe: 0.5556 0.1113 0.6669  1.92
Fe: 0.2500 0.5000 0.7500  1.63
Fe: 0.9444 0.8887 0.8331  1.92

No. 5
Y2Fe after structural relaxation. Source: Alexandria via LeMat-Bulk, functional PBE-GGA.

- Symmetry: Fm-3m, No. 225
- Calculated total energy: -20.65 eV per cell
- V: 24.36 Å³/atom

Cell: 4.6930 4.6930 4.6930 Å, 60.00 60.00 60.00°
Each line ends with the local moment (μB).
Sites, in units of the cell vectors:
Y: 0.7500 0.7500 0.7500  -0.03
Fe: 0.0000 0.0000 0.0000  0.19
Y: 0.2500 0.2500 0.2500  -0.03

No. 6
Y2Fe7 after structural relaxation. Source: Alexandria via LeMat-Bulk, functional PBE-GGA.

- Symmetry: R-3m, No. 166
- Calculated total energy: -145.37 eV per cell
- V: 14.89 Å³/atom

Cell: 5.0828 5.0828 12.3306 Å, 78.11 78.11 60.00°
Each line ends with the local moment (μB).
Sites, in units of the cell vectors:
Fe: 0.1090 0.6089 0.6732  2.04
Fe: 0.7211 0.7211 0.8366  2.13
Fe: 0.2789 0.2789 0.1634  2.13
Y: 0.8506 0.8506 0.4483  -0.40
Fe: 0.5000 0.0000 0.0000  2.11
Fe: 0.8910 0.3911 0.3268  2.04
Fe: 0.5000 0.5000 0.5000  1.92
Fe: 0.6126 0.6126 0.1621  2.20
Fe: 0.5000 0.5000 0.0000  2.11
Fe: 0.3911 0.8910 0.3268  2.04
Fe: 0.3911 0.3911 0.3268  2.04
Y: 0.9479 0.9479 0.1563  -0.29
Y: 0.1494 0.1494 0.5517  -0.40
Fe: 0.6089 0.6089 0.6732  2.04
Fe: 0.0000 0.5000 0.0000  2.11
Fe: 0.6089 0.1090 0.6732  2.04
Y: 0.0521 0.0521 0.8437  -0.29
Fe: 0.3874 0.3874 0.8379  2.20

No. 7
YFe after structural relaxation. Source: Alexandria via LeMat-Bulk, functional PBE-GGA.

- Symmetry: P2_13, No. 198
- Calculated total energy: -56.74 eV per cell
- V: 20.86 Å³/atom

Cell: 5.5053 5.5053 5.5053 Å, 90.00 90.00 90.00°
Each line ends with the local moment (μB).
Sites, in units of the cell vectors:
Y: 0.9168 0.5832 0.4168  -0.32
Fe: 0.4063 0.4063 0.4063  2.31
Fe: 0.5937 0.9063 0.0937  2.31
Y: 0.4168 0.9168 0.5832  -0.32
Y: 0.5832 0.4168 0.9168  -0.32
Fe: 0.0937 0.5937 0.9063  2.31
Y: 0.0832 0.0832 0.0832  -0.32
Fe: 0.9063 0.0937 0.5937  2.31

No. 8
Y6Fe7 after structural relaxation. Source: Alexandria via LeMat-Bulk, functional PBE-GGA.

- Symmetry: R-3m, No. 166
- Calculated total energy: -96.52 eV per cell
- V: 19.23 Å³/atom

Cell: 10.8370 10.8370 10.8370 Å, 28.13 28.13 28.13°
Each line ends with the local moment (μB).
Sites, in units of the cell vectors:
Fe: 0.1138 0.5920 0.5920  2.23
Y: 0.0531 0.0531 0.0531  -0.24
Fe: 0.4080 0.4080 0.8862  2.23
Fe: 0.5920 0.5920 0.1138  2.23
Fe: 0.5920 0.1138 0.5920  2.23
Fe: 0.5000 0.5000 0.5000  2.16
Y: 0.1515 0.1515 0.1515  -0.44
Y: 0.9469 0.9469 0.9469  -0.24
Y: 0.6581 0.6581 0.6581  -0.18
Y: 0.3419 0.3419 0.3419  -0.18
Fe: 0.4080 0.8862 0.4080  2.23
Y: 0.8485 0.8485 0.8485  -0.44
Fe: 0.8862 0.4080 0.4080  2.23

No. 9
YFe4 after structural relaxation. Source: Alexandria via LeMat-Bulk, functional PBE-GGA.

- Symmetry: Pm-3m, No. 221
- Calculated total energy: -30.20 eV per cell
- V: 19.52 Å³/atom

Cell: 4.6043 4.6043 4.6043 Å, 90.00 90.00 90.00°
Each line ends with the local moment (μB).
Sites, in units of the cell vectors:
Fe: 0.0000 0.5000 0.5000  2.32
Y: 0.5000 0.5000 0.5000  -0.41
Fe: 0.0000 0.0000 0.0000  3.22
Fe: 0.5000 0.0000 0.5000  2.32
Fe: 0.5000 0.5000 0.0000  2.32

No. 10
YFe after structural relaxation. Source: Alexandria via LeMat-Bulk, functional PBE-GGA.

- Symmetry: I4/mmm, No. 139
- Calculated total energy: -116.53 eV per cell
- V: 20.94 Å³/atom

Cell: 8.2695 8.2695 4.8984 Å, 90.00 90.00 90.00°
Each line ends with the local moment (μB).
Sites, in units of the cell vectors:
Y: 0.5000 0.2152 0.0000  -0.17
Y: 0.7848 0.5000 0.0000  -0.17
Y: 0.2152 0.5000 0.0000  -0.17
Fe: 0.1404 0.1404 0.0000  2.04
Y: 0.0000 0.7152 0.5000  -0.17
Y: 0.2848 0.0000 0.5000  -0.17
Fe: 0.3596 0.6404 0.5000  2.04
Fe: 0.1404 0.8596 0.0000  2.04
Y: 0.5000 0.7848 0.0000  -0.17
Fe: 0.8596 0.8596 0.0000  2.04
Fe: 0.3596 0.3596 0.5000  2.04
Fe: 0.6404 0.6404 0.5000  2.04
Fe: 0.6404 0.3596 0.5000  2.04
Fe: 0.8596 0.1404 0.0000  2.04
Y: 0.0000 0.2848 0.5000  -0.17
Y: 0.7152 0.0000 0.5000  -0.17

No. 11
Y2Fe after structural relaxation. Source: Alexandria via LeMat-Bulk, functional PBE-GGA.

- Symmetry: Cmcm, No. 63
- Calculated total energy: -41.85 eV per cell
- V: 23.91 Å³/atom

Cell: 7.9631 7.9631 5.2468 Å, 90.00 90.00 154.45°
Each line ends with the local moment (μB).
Sites, in units of the cell vectors:
Fe: 0.4328 0.5672 0.7500  1.64
Y: 0.2076 0.7924 0.2500  -0.18
Y: 0.7924 0.2076 0.7500  -0.18
Y: 0.9298 0.0702 0.2500  -0.24
Y: 0.0702 0.9298 0.7500  -0.24
Fe: 0.5672 0.4328 0.2500  1.64

No. 12
YFe3 after structural relaxation. Source: Alexandria via LeMat-Bulk, functional PBE-GGA.

- Symmetry: R-3m, No. 166
- Calculated total energy: -93.52 eV per cell
- V: 16.09 Å³/atom

Cell: 5.9333 5.9333 7.1993 Å, 65.66 65.66 60.00°
Each line ends with the local moment (μB).
Sites, in units of the cell vectors:
Y: 0.0000 0.0000 0.0000  -0.19
Fe: 0.3080 0.3080 0.6808  2.32
Fe: 0.0000 0.5000 0.0000  2.36
Y: 0.7860 0.7860 0.6419  -0.22
Fe: 0.6920 0.6920 0.3192  2.32
Fe: 0.6920 0.2969 0.3192  2.36
Fe: 0.7031 0.3080 0.6808  2.29
Fe: 0.5000 0.5000 0.0000  2.39
Fe: 0.2969 0.6920 0.3192  2.29
Y: 0.2140 0.2140 0.3581  -0.22
Fe: 0.5000 0.0000 0.0000  2.41
Fe: 0.3080 0.7031 0.6808  2.36

No. 13
Y3Fe after structural relaxation. Source: Alexandria via LeMat-Bulk, functional PBE-GGA.

- Symmetry: P-6m2, No. 187
- Calculated total energy: -26.96 eV per cell
- V: 27.43 Å³/atom

Cell: 3.6083 3.6083 9.7300 Å, 90.00 90.00 120.00°
Each line ends with the local moment (μB).
Sites, in units of the cell vectors:
Y: 0.0000 0.0000 0.5000  0.25
Fe: 0.0000 0.0000 0.0000  1.99
Y: 0.3333 0.6667 0.8031  -0.18
Y: 0.3333 0.6667 0.1969  -0.18

No. 14
YFe3 after structural relaxation. Source: Alexandria via LeMat-Bulk, functional PBE-GGA.

- Symmetry: Pnma, No. 62
- Calculated total energy: -126.37 eV per cell
- V: 15.92 Å³/atom

Cell: 7.2876 6.4415 5.4247 Å, 90.00 90.00 90.00°
Each line ends with the local moment (μB).
Sites, in units of the cell vectors:
Fe: 0.8861 0.2500 0.8590  1.94
Fe: 0.3295 0.9353 0.4045  2.28
Fe: 0.1705 0.0647 0.9045  2.28
Fe: 0.1705 0.4353 0.9045  2.28
Y: 0.5336 0.2500 0.1252  -0.24
Fe: 0.3295 0.5647 0.4045  2.28
Fe: 0.3861 0.2500 0.6410  1.94
Fe: 0.6705 0.0647 0.5955  2.28
Y: 0.4664 0.7500 0.8748  -0.24
Fe: 0.1139 0.7500 0.1410  1.94
Fe: 0.6139 0.7500 0.3590  1.94
Y: 0.0336 0.2500 0.3748  -0.24
Fe: 0.8295 0.5647 0.0955  2.28
Fe: 0.8295 0.9353 0.0955  2.28
Y: 0.9664 0.7500 0.6252  -0.24
Fe: 0.6705 0.4353 0.5955  2.28

No. 15
YFe4 after structural relaxation. Source: Alexandria via LeMat-Bulk, functional PBE-GGA.

- Symmetry: I4/m, No. 87
- Calculated total energy: -39.17 eV per cell
- V: 14.96 Å³/atom

Cell: 4.6897 4.6897 4.6897 Å, 102.20 102.20 125.26°
Each line ends with the local moment (μB).
Sites, in units of the cell vectors:
Y: 0.0000 0.0000 0.0000  -0.25
Fe: 0.5544 0.1893 0.7437  2.44
Fe: 0.1893 0.4456 0.6349  2.44
Fe: 0.4456 0.8107 0.2563  2.44
Fe: 0.8107 0.5544 0.3651  2.44

No. 16
Y4Fe after structural relaxation. Source: Alexandria via LeMat-Bulk, functional PBE-GGA.

- Symmetry: Pm-3m, No. 221
- Calculated total energy: -33.73 eV per cell
- V: 29.63 Å³/atom

Cell: 5.2913 5.2913 5.2913 Å, 90.00 90.00 90.00°
Sites, in units of the cell vectors:
Y: 0.5000 0.0000 0.5000
Y: 0.5000 0.5000 0.0000
Y: 0.0000 0.5000 0.5000
Y: 0.0000 0.0000 0.0000
Fe: 0.5000 0.5000 0.5000

No. 17
YFe after structural relaxation. Source: Alexandria via LeMat-Bulk, functional PBE-GGA.

- Symmetry: I-43m, No. 217
- Calculated total energy: -106.17 eV per cell
- V: 32.26 Å³/atom

Cell: 8.0218 8.0218 8.0218 Å, 90.00 90.00 90.00°
Each line ends with the local moment (μB).
Sites, in units of the cell vectors:
Fe: 0.6027 0.6027 0.6027  2.02
Y: 0.2866 0.2866 0.2866  -0.18
Y: 0.2134 0.2134 0.7866  -0.18
Y: 0.7866 0.2134 0.2134  -0.18
Fe: 0.3973 0.3973 0.6027  2.02
Y: 0.7134 0.7134 0.2866  -0.18
Fe: 0.6027 0.3973 0.3973  2.02
Fe: 0.1027 0.1027 0.1027  2.02
Fe: 0.1027 0.8973 0.8973  2.02
Fe: 0.3973 0.6027 0.3973  2.02
Y: 0.2134 0.7866 0.2134  -0.18
Y: 0.2866 0.7134 0.7134  -0.18
Y: 0.7134 0.2866 0.7134  -0.18
Fe: 0.8973 0.8973 0.1027  2.02
Y: 0.7866 0.7866 0.7866  -0.18
Fe: 0.8973 0.1027 0.8973  2.02

No. 18
Y3Fe after structural relaxation. Source: Alexandria via LeMat-Bulk, functional PBE-GGA.

- Symmetry: R-3m, No. 166
- Calculated total energy: -26.02 eV per cell
- V: 26.54 Å³/atom

Cell: 3.3721 6.1330 6.1330 Å, 116.72 79.44 79.44°
Each line ends with the local moment (μB).
Sites, in units of the cell vectors:
Y: 0.5000 0.0000 0.5000  -0.21
Y: 0.0000 0.5000 0.5000  -0.21
Fe: 0.0000 0.0000 0.0000  2.78
Y: 0.5000 0.5000 0.0000  -0.21

No. 19
YFe8 after structural relaxation. Source: Alexandria via LeMat-Bulk, functional PBE-GGA.

- Symmetry: I4/mmm, No. 139
- Calculated total energy: -72.20 eV per cell
- V: 13.44 Å³/atom

Cell: 5.8087 5.8087 5.8087 Å, 97.13 97.13 138.75°
Each line ends with the local moment (μB).
Sites, in units of the cell vectors:
Fe: 0.6823 0.6823 0.3647  2.49
Fe: 0.6823 0.3177 0.0000  2.49
Fe: 0.0000 0.6519 0.6519  2.42
Y: 0.0000 0.0000 0.0000  -0.30
Fe: 0.6519 0.0000 0.6519  2.42
Fe: 0.3481 0.0000 0.3481  2.42
Fe: 0.0000 0.3481 0.3481  2.42
Fe: 0.3177 0.3177 0.6353  2.49
Fe: 0.3177 0.6823 0.0000  2.49

No. 20
YFe after structural relaxation. Source: Alexandria via LeMat-Bulk, functional PBE-GGA.

- Symmetry: Imm2, No. 44
- Calculated total energy: -88.15 eV per cell
- V: 21.50 Å³/atom

Cell: 11.4660 3.6646 6.1411 Å, 90.00 90.00 90.00°
Each line ends with the local moment (μB).
Sites, in units of the cell vectors:
Y: 0.0000 0.0000 0.9289  -0.27
Fe: 0.5979 0.0000 0.1199  1.88
Fe: 0.0979 0.5000 0.6199  1.88
Y: 0.7857 0.5000 0.2022  -0.23
Fe: 0.4021 0.0000 0.1199  1.88
Y: 0.2143 0.5000 0.2022  -0.23
Y: 0.5000 0.5000 0.4289  -0.27
Fe: 0.5000 0.5000 0.9290  2.49
Fe: 0.0000 0.0000 0.4290  2.49
Y: 0.2857 0.0000 0.7022  -0.23
Fe: 0.9021 0.5000 0.6199  1.88
Y: 0.7143 0.0000 0.7022  -0.23